HgPb2N2 (GGA-PBE, optimized geometry); VASP energy = -4.764 eV per atom; total magnetization = 0.00 Bohr magnetons per cell; E_form (uncorrected) = 0.11 eV/atom; symmetry = C2/m, No. 12
1.0
1.745 -2.950 0.000
1.745 2.950 0.000
-1.724 0.000 14.363
Hg Pb N
1 2 2
direct
0.000 0.000 0.000
0.287 0.287 0.202
0.713 0.713 0.798
0.032 0.032 0.539
0.968 0.968 0.461